Record 1
DFT (PBE) results for a relaxed RbC crystal.

CIF file:
```
data_RbC
_chemical_formula_sum 'Rb6 C6'
_symmetry_space_group_name_H-M 'C 1 m 1'
_symmetry_Int_Tables_number 8
_cell_length_a 11.430
_cell_length_b 4.502
_cell_length_c 8.059
_cell_angle_alpha 90.00
_cell_angle_beta 121.55
_cell_angle_gamma 90.00
loop_
_symmetry_equiv_pos_as_xyz
'x,y,z'
'x,-y,z'
'x+1/2,y+1/2,z'
'x+1/2,-y+1/2,z'
loop_
_atom_site_label
_atom_site_fract_x
_atom_site_fract_y
_atom_site_fract_z
Rb1 0.000 0.000 0.000
Rb2 0.146 0.500 0.674
Rb3 0.343 0.500 0.349
C1 0.219 0.000 0.484
C2 0.289 0.000 0.035
C3 0.344 0.000 0.623
```

=====

Record 2
DFT (PBE) results for a relaxed RbC3 crystal.

CIF file:
```
data_RbC3
_chemical_formula_sum 'Rb4 C12'
_symmetry_space_group_name_H-M 'C m c m'
_symmetry_Int_Tables_number 63
_symmetry_space_group_name_Hall '-C 2c 2'
_cell_length_a 5.816
_cell_length_b 15.263
_cell_length_c 4.696
_cell_angle_alpha 90.00
_cell_angle_beta 90.00
_cell_angle_gamma 90.00
loop_
_atom_site_label
_atom_site_fract_x
_atom_site_fract_y
_atom_site_fract_z
Rb1 0.000 0.164 0.250
C1 0.000 0.437 0.250
C2 0.130 0.362 0.250
```

=====

Record 3
DFT (PBE) results for a relaxed Rb5C4 crystal.

CIF file:
```
data_Rb5C4
_chemical_formula_sum 'Rb10 C8'
_symmetry_space_group_name_H-M 'P 63/m c m'
_symmetry_Int_Tables_number 193
_symmetry_space_group_name_Hall '-P 6c 2'
_cell_length_a 9.0833
_cell_length_b 9.0833
_cell_length_c 8.3620
_cell_angle_alpha 90.00
_cell_angle_beta 90.00
_cell_angle_gamma 120.00
loop_
_atom_site_label
_atom_site_fract_x
_atom_site_fract_y
_atom_site_fract_z
Rb1 0.0000 0.2458 0.2500
Rb2 0.3333 0.6667 0.0000
C1 0.0000 0.0000 0.0000
C2 0.0000 0.4134 0.7500
```

=====

Record 4
DFT (PBE) results for a relaxed RbC crystal.

CIF file:
```
data_RbC
_chemical_formula_sum 'Rb3 C3'
_symmetry_space_group_name_H-M 'P 6/m m m'
_symmetry_Int_Tables_number 191
_symmetry_space_group_name_Hall '-P 6 2'
_cell_length_a 7.8636
_cell_length_b 7.8636
_cell_length_c 4.3300
_cell_angle_alpha 90.00
_cell_angle_beta 90.00
_cell_angle_gamma 120.00
loop_
_atom_site_label
_atom_site_fract_x
_atom_site_fract_y
_atom_site_fract_z
Rb1 0.0000 0.5000 0.0000
C1 0.0000 0.0000 0.0000
C2 0.3333 0.6667 0.5000
```

=====

Record 5
DFT (PBE) results for a relaxed RbReC2 crystal.

CIF file:
```
data_RbReC2
_chemical_formula_sum 'Rb4 Re4 C8'
_symmetry_space_group_name_H-M 'F m -3 m'
_symmetry_Int_Tables_number 225
_symmetry_space_group_name_Hall '-F 4 2 3'
_cell_length_a 5.997
_cell_length_b 5.997
_cell_length_c 5.997
_cell_angle_alpha 90.00
_cell_angle_beta 90.00
_cell_angle_gamma 90.00
loop_
_atom_site_label
_atom_site_fract_x
_atom_site_fract_y
_atom_site_fract_z
Rb1 0.000 0.000 0.000
Re1 0.000 0.000 0.500
C1 0.250 0.250 0.250
```

=====

Record 6
DFT (PBE) results for a relaxed Rb2ReC crystal.

CIF file:
```
data_Rb2ReC
_chemical_formula_sum 'Rb8 Re4 C4'
_symmetry_space_group_name_H-M 'I -4 2 d'
_symmetry_Int_Tables_number 122
_symmetry_space_group_name_Hall 'I -4 2bw'
_cell_length_a 12.618
_cell_length_b 12.618
_cell_length_c 3.953
_cell_angle_alpha 90.00
_cell_angle_beta 90.00
_cell_angle_gamma 90.00
loop_
_atom_site_label
_atom_site_fract_x
_atom_site_fract_y
_atom_site_fract_z
Rb1 0.034 0.250 0.125
Re1 0.000 0.000 0.500
C1 0.000 0.000 0.000
```

=====

It is found that the ΔH_f (0 K) values, taken in the order of the records, are 1.027, 1.467, 2.024, 2.480, 3.107, 1.108 eV per atom.
It is found that the energy values, taken in the order of the records, are -0.1495, -0.2092, -0.0960, -0.0961, -0.1786, -0.1762 Ha/atom.